1.
AlZn2Cr | PBE | optimized geometry Values from VASP.

```
&SYSTEM
  ibrav = 0, nat = 4, ntyp = 3
/
ATOMIC_SPECIES
Cr 52.00 Cr.upf
Zn 65.41 Zn.upf
Al 26.98 Al.upf
CELL_PARAMETERS angstrom
-2.6358 8.4771 0.5511
-4.9675 7.3703 -0.3402
-4.3916 7.3758 2.3290
ATOMIC_POSITIONS crystal
Cr 0.7506 0.7506 0.7506
Zn 0.0034 0.0034 0.0034
Zn 0.2499 0.2499 0.2499
Al 0.4960 0.4960 0.4960
```

## Properties
* symmetry: R3m
* total DFT energy (no corrections): -3.84 eV/atom
* total magnetization: 0.00 μB per formula unit


2.
AlZnCr2 | PBE | optimized geometry Values from VASP.

```
&SYSTEM
  ibrav = 0, nat = 4, ntyp = 3
/
ATOMIC_SPECIES
Cr 52.00 Cr.upf
Zn 65.41 Zn.upf
Al 26.98 Al.upf
CELL_PARAMETERS angstrom
4.8539 -0.0006 0.0137
3.8475 2.9591 0.0137
1.5962 0.5427 3.5841
ATOMIC_POSITIONS crystal
Cr 0.0002 0.0002 0.0110
Cr 0.4998 0.4998 0.4890
Zn 0.7500 0.7500 0.7500
Al 0.2500 0.2500 0.2500
```

## Properties
* symmetry: C2/m
* total DFT energy (no corrections): -5.96 eV/atom
* total magnetization: 0.00 μB per formula unit


3.
Al3ZnCr8 | PBE | optimized geometry Values from VASP.

```
&SYSTEM
  ibrav = 0, nat = 12, ntyp = 3
/
ATOMIC_SPECIES
Al 26.98 Al.upf
Zn 65.41 Zn.upf
Cr 52.00 Cr.upf
CELL_PARAMETERS angstrom
-2.1251 -1.5108 -1.4527
-0.1003 -1.9931 2.2195
-12.1211 9.4322 7.9226
ATOMIC_POSITIONS crystal
Al 0.5000 0.5000 0.2506
Al 0.0000 0.0000 0.5000
Al 0.5000 0.5000 0.7494
Zn 0.0000 0.0000 0.0000
Cr 0.5000 0.5000 0.0932
Cr 0.0000 0.0000 0.3413
Cr 0.5000 0.5000 0.5906
Cr 0.0000 0.0000 0.8406
Cr 0.0000 0.0000 0.1594
Cr 0.5000 0.5000 0.4094
Cr 0.0000 0.0000 0.6587
Cr 0.5000 0.5000 0.9068
```

## Properties
* symmetry: P4/mmm
* total DFT energy (no corrections): -7.55 eV/atom
* total magnetization: 0.55 μB per formula unit


> What is the total DFT energy (no corrections) in the third record?

-7.55 eV/atom